Compound: MgRe2RuAu
Source: the Alexandria database
Functional: GGA-PBE
Structure: optimized geometry

abc: 4.6505 4.6505 5.1035
angles: 90.00 90.00 90.00
Last column: nearest neighbours and their distance in Å.
Element x y z (fractional)
Mg: 0.0000 0.0000 0.0000  4 Au 3.29, 8 Re 3.45
Re: 0.0000 0.5000 0.5000  2 Ru 2.33
Re: 0.5000 0.0000 0.5000  2 Ru 2.33
Ru: 0.5000 0.5000 0.5000  4 Re 2.33, 2 Au 2.55
Au: 0.5000 0.5000 0.0000  2 Ru 2.55

Computed properties:
Its space-group type is No. 123. For the formation energy, the calculation gives 1588 meV per atom.

---

Compound: MgReAu2S
Source: the Alexandria database
Functional: GGA-PBE
Structure: optimized geometry

abc: 4.7428 4.7428 5.0268
angles: 90.00 90.00 90.00
Last column: nearest neighbours and their distance in Å.
Element x y z (fractional)
Mg: 0.0000 0.0000 0.0000  4 Au 2.37, 2 Re 2.51
Re: 0.0000 0.0000 0.5000  2 Mg 2.51
Au: 0.0000 0.5000 0.0000  2 Mg 2.37
Au: 0.5000 0.0000 0.0000  2 Mg 2.37
S: 0.5000 0.5000 0.5000  4 Re 3.35, 8 Au 3.46

Computed properties:
As for the energy relative to the elements, uncorrected: 1612 meV/atom. Its space-group type is No. 123.

---

Compound: MgScReAu2
Source: the Alexandria database
Functional: GGA-PBE
Structure: optimized geometry

abc: 4.6484 4.6484 4.7728
angles: 90.00 90.00 90.00
Last column: nearest neighbours and their distance in Å.
Element x y z (fractional)
Mg: 0.0000 0.0000 0.0000  4 Au 2.32, 2 Re 2.39
Sc: 0.5000 0.5000 0.5000  4 Re 3.29, 8 Au 3.33
Re: 0.0000 0.0000 0.5000  2 Mg 2.39
Au: 0.0000 0.5000 0.0000  2 Mg 2.32
Au: 0.5000 0.0000 0.0000  2 Mg 2.32

Computed properties:
Its space-group type is No. 123. For the formation energy, the calculation gives 827 meV per atom.

---

Compound: MgZnRe2Au
Source: the Alexandria database
Functional: GGA-PBE
Structure: optimized geometry

abc: 4.9779 4.9779 4.7551
angles: 90.00 90.00 90.00
Last column: nearest neighbours and their distance in Å.
Element x y z (fractional)
Mg: 0.0000 0.0000 0.0000  2 Au 2.38
Zn: 0.5000 0.5000 0.0000  8 Re 3.44, 4 Mg 3.52
Re: 0.0000 0.5000 0.5000  2 Au 2.49
Re: 0.5000 0.0000 0.5000  2 Au 2.49
Au: 0.0000 0.0000 0.5000  2 Mg 2.38, 4 Re 2.49

Computed properties:
Its space-group type is No. 123. For the formation energy, the calculation gives 1955 meV per atom.

---

Compound: Mg5RhAu
Source: the Alexandria database
Functional: GGA-PBE
Structure: optimized geometry

abc: 4.5473 4.5473 6.6426
angles: 90.00 90.00 90.00
Last column: nearest neighbours and their distance in Å.
Element x y z (fractional)
Mg: 0.0000 0.0000 0.0000  8 Mg 2.96, 4 Au 3.22
Mg: 0.0000 0.5000 0.2847  2 Rh 2.69, 3 Mg 2.86-2.96, 2 Au 2.96
Mg: 0.0000 0.5000 0.7153  2 Rh 2.69, 3 Mg 2.86-2.96, 2 Au 2.96
Mg: 0.5000 0.0000 0.2847  2 Rh 2.69, 3 Mg 2.86-2.96, 2 Au 2.96
Mg: 0.5000 0.0000 0.7153  2 Rh 2.69, 3 Mg 2.86-2.96, 2 Au 2.96
Rh: 0.0000 0.0000 0.5000  8 Mg 2.69
Au: 0.5000 0.5000 0.0000  12 Mg 2.96-3.22

Computed properties:
Its space-group type is No. 123. For the formation energy, the calculation gives -369 meV per atom.

---

Compound: Mg4RhAu
Source: the Alexandria database
Functional: GGA-PBE
Structure: optimized geometry

abc: 4.4674 4.4674 6.3645
angles: 90.00 90.00 90.00
Last column: nearest neighbours and their distance in Å.
Element x y z (fractional)
Mg: 0.0000 0.5000 0.2358  2 Rh 2.69, 2 Au 2.80, 1 Mg 3.00
Mg: 0.0000 0.5000 0.7642  2 Rh 2.69, 2 Au 2.80, 1 Mg 3.00
Mg: 0.5000 0.0000 0.2358  2 Rh 2.69, 2 Au 2.80, 1 Mg 3.00
Mg: 0.5000 0.0000 0.7642  2 Rh 2.69, 2 Au 2.80, 1 Mg 3.00
Rh: 0.0000 0.0000 0.0000  8 Mg 2.69
Au: 0.5000 0.5000 0.5000  8 Mg 2.80

Computed properties:
The offset from the most stable computed form comes out at 46 kJ/mol of formula units. Its space-group type is No. 123. For the formation energy, the calculation gives -347 meV per atom.

---

Compound: MgRh2Au
Source: the Alexandria database
Functional: GGA-PBE
Structure: optimized geometry

abc: 2.9757 4.5845 4.6087
angles: 90.00 90.00 90.00
Last column: nearest neighbours and their distance in Å.
Element x y z (fractional)
Mg: 0.0000 0.0000 0.0000  4 Rh 2.73, 4 Au 2.74, 2 Mg 2.98
Rh: 0.0000 0.5000 0.5000  4 Au 2.73, 6 Rh 2.74-2.98
Rh: 0.5000 0.5000 0.0000  4 Mg 2.73, 6 Rh 2.74-2.98
Au: 0.5000 0.0000 0.5000  4 Rh 2.73, 4 Mg 2.74, 2 Au 2.98

Computed properties:
Its space-group type is No. 47. For the formation energy, the calculation gives -174 meV per atom.

---

Compound: MgRh2Au
Source: the Alexandria database
Functional: GGA-PBE
Structure: optimized geometry

abc: 6.3397 6.3397 6.3397
angles: 90.00 90.00 90.00
Last column: nearest neighbours and their distance in Å.
Element x y z (fractional)
Mg: 0.0000 0.0000 0.0000  4 Rh 2.75, 4 Au 2.75
Mg: 0.0000 0.5000 0.5000  4 Rh 2.75, 4 Au 2.75
Mg: 0.5000 0.0000 0.5000  4 Rh 2.75, 4 Au 2.75
Mg: 0.5000 0.5000 0.0000  4 Rh 2.75, 4 Au 2.75
Rh: 0.0000 0.0000 0.5000  4 Au 2.75, 4 Rh 2.75
Rh: 0.0000 0.5000 0.0000  4 Au 2.75, 4 Rh 2.75
Rh: 0.2500 0.2500 0.2500  4 Mg 2.75, 4 Rh 2.75
Rh: 0.2500 0.7500 0.7500  4 Mg 2.75, 4 Rh 2.75
Rh: 0.5000 0.0000 0.0000  4 Au 2.75, 4 Rh 2.75
Rh: 0.5000 0.5000 0.5000  4 Au 2.75, 4 Rh 2.75
Rh: 0.7500 0.2500 0.7500  4 Mg 2.75, 4 Rh 2.75
Rh: 0.7500 0.7500 0.2500  4 Mg 2.75, 4 Rh 2.75
Au: 0.2500 0.2500 0.7500  4 Mg 2.75, 4 Rh 2.75
Au: 0.2500 0.7500 0.2500  4 Mg 2.75, 4 Rh 2.75
Au: 0.7500 0.2500 0.2500  4 Mg 2.75, 4 Rh 2.75
Au: 0.7500 0.7500 0.7500  4 Mg 2.75, 4 Rh 2.75

Computed properties:
Its space-group type is No. 216. For the formation energy, the calculation gives -128 meV per atom.

---

Compound: MgRh4Au2
Source: the Alexandria database
Functional: GGA-PBE
Structure: optimized geometry

abc: 4.5097 4.5097 13.2340
angles: 90.00 90.00 90.00
Last column: nearest neighbours and their distance in Å.
Element x y z (fractional)
Mg: 0.0000 0.0000 0.0000  6 Rh 2.25-2.42
Mg: 0.5000 0.5000 0.5000  6 Rh 2.25-2.42
Rh: 0.0000 0.0000 0.1832  1 Mg 2.42, 1 Au 2.61
Rh: 0.0000 0.0000 0.8168  1 Mg 2.42, 1 Au 2.61
Rh: 0.0000 0.5000 0.0000  2 Mg 2.25
Rh: 0.0000 0.5000 0.5000  2 Mg 2.25
Rh: 0.5000 0.0000 0.0000  2 Mg 2.25
Rh: 0.5000 0.0000 0.5000  2 Mg 2.25
Rh: 0.5000 0.5000 0.3168  1 Mg 2.42, 1 Au 2.61
Rh: 0.5000 0.5000 0.6832  1 Mg 2.42, 1 Au 2.61
Au: 0.0000 0.0000 0.3806  5 Rh 2.61-2.75
Au: 0.0000 0.0000 0.6194  5 Rh 2.61-2.75
Au: 0.5000 0.5000 0.1194  5 Rh 2.61-2.75
Au: 0.5000 0.5000 0.8806  5 Rh 2.61-2.75

Computed properties:
Its space-group type is No. 139. For the formation energy, the calculation gives 994 meV per atom.

---

Compound: MgRh2Au
Source: the Alexandria database
Functional: GGA-PBE
Structure: optimized geometry

abc: 2.8452 2.8452 27.0349
angles: 90.00 90.00 120.00
Last column: nearest neighbours and their distance in Å.
Element x y z (fractional)
Mg: 0.0000 0.0000 0.0000  6 Rh 2.70, 6 Mg 2.85
Mg: 0.3333 0.6667 0.6667  6 Rh 2.70, 6 Mg 2.85
Mg: 0.6667 0.3333 0.3333  6 Rh 2.70, 6 Mg 2.85
Rh: 0.0000 0.0000 0.2540  3 Mg 2.70, 6 Rh 2.85, 3 Au 2.88
Rh: 0.0000 0.0000 0.7460  3 Mg 2.70, 6 Rh 2.85, 3 Au 2.88
Rh: 0.3333 0.6667 0.4126  3 Mg 2.70, 6 Rh 2.85, 3 Au 2.88
Rh: 0.3333 0.6667 0.9207  3 Mg 2.70, 6 Rh 2.85, 3 Au 2.88
Rh: 0.6667 0.3333 0.0793  3 Mg 2.70, 6 Rh 2.85, 3 Au 2.88
Rh: 0.6667 0.3333 0.5874  3 Mg 2.70, 6 Rh 2.85, 3 Au 2.88
Au: 0.0000 0.0000 0.5000  6 Au 2.85, 6 Rh 2.88
Au: 0.3333 0.6667 0.1667  6 Au 2.85, 6 Rh 2.88
Au: 0.6667 0.3333 0.8333  6 Au 2.85, 6 Rh 2.88

Computed properties:
Its space-group type is No. 166. For the formation energy, the calculation gives -56 meV per atom.

---

Compound: MgRh2Au
Source: the Alexandria database
Functional: GGA-PBE
Structure: optimized geometry

abc: 2.8781 3.8444 5.7185
angles: 90.00 90.19 90.00
Last column: nearest neighbours and their distance in Å.
Element x y z (fractional)
Mg: 0.0000 0.0000 0.0000  5 Rh 2.68-2.84, 4 Au 2.78, 2 Mg 2.88
Rh: 0.0006 0.0000 0.4688  6 Rh 2.67-2.88, 1 Mg 2.68, 4 Au 2.90-2.91
Rh: 0.4994 0.5000 0.2654  6 Rh 2.67-2.88, 2 Au 2.80-2.92, 4 Mg 2.84
Au: 0.5002 0.5000 0.7542  4 Mg 2.78, 6 Rh 2.80-2.92, 2 Au 2.88

Computed properties:
Its space-group type is No. 6. For the formation energy, the calculation gives -198 meV per atom.

---

Compound: MgRh2Au
Source: the Alexandria database
Functional: GGA-PBE
Structure: optimized geometry

abc: 9.2235 2.9012 4.7952
angles: 90.00 101.40 90.00
Last column: nearest neighbours and their distance in Å.
Element x y z (fractional)
Mg: 0.0000 0.0000 0.0000  3 Au 2.71-2.78, 7 Rh 2.73-2.90, 2 Mg 2.90
Mg: 0.5000 0.5000 0.0000  3 Au 2.71-2.78, 7 Rh 2.73-2.90, 2 Mg 2.90
Rh: 0.2505 0.5000 0.2849  5 Rh 2.67-2.90, 4 Au 2.77-2.84, 3 Mg 2.84-2.90
Rh: 0.4924 0.0000 0.4796  5 Rh 2.67-2.90, 4 Mg 2.73-2.88, 3 Au 2.88-2.90
Rh: 0.7505 0.0000 0.2849  5 Rh 2.67-2.90, 4 Au 2.77-2.84, 3 Mg 2.84-2.90
Rh: 0.9924 0.5000 0.4796  5 Rh 2.67-2.90, 4 Mg 2.73-2.88, 3 Au 2.88-2.90
Au: 0.2468 0.0000 0.7748  3 Mg 2.71-2.78, 7 Rh 2.77-2.90, 2 Au 2.90
Au: 0.7468 0.5000 0.7748  3 Mg 2.71-2.78, 7 Rh 2.77-2.90, 2 Au 2.90

Computed properties:
Its space-group type is No. 8. For the formation energy, the calculation gives -203 meV per atom.

---

What did we get for uncorrected energy? Answer: -6.22; -3.33; -4.56; -4.25; -3.03; -3.18; -5.07; -5.02; -4.37; -4.95; -5.09; -5.10 eV per atom, in the order shown.